DFT (PBE) results for crystalline BeTc7 at its relaxed geometry.

Properties
Energy of formation: 1.458 eV/f.u.
Symmetry: Fm-3m, No. 225
Energy: -9.354 eV/atom
Density of states at the Fermi level: 11.30 states/eV/f.u.

abc: 5.431 5.431 5.431
angles: 60.00 60.00 60.00
Sites, in units of the cell vectors:
1 Be 0.000 0.000 0.000
2 Tc 0.000 0.000 0.500
3 Tc 0.000 0.500 0.000
4 Tc 0.000 0.500 0.500
5 Tc 0.500 0.000 0.000
6 Tc 0.500 0.000 0.500
7 Tc 0.500 0.500 0.000
8 Tc 0.500 0.500 0.500